First-principles (PBE) data for NpTcN after structural relaxation, as listed in Alexandria via LeMat-Bulk.

The structure in CIF format:
```
data_NpTcN
_chemical_formula_sum 'Np1 Tc1 N1'
_cell_length_a 3.4575
_cell_length_b 3.4575
_cell_length_c 4.1340
_cell_angle_alpha 90.00
_cell_angle_beta 90.00
_cell_angle_gamma 120.00
_space_group_name_H-M_alt 'P 3 m 1'
_space_group_IT_number 156
loop_
_space_group_symop_operation_xyz
'x,y,z'
'-y,x-y,z'
'-x+y,-x,z'
'-y,-x,z'
'-x+y,y,z'
'x,x-y,z'
loop_
_atom_site_label
_atom_site_fract_x
_atom_site_fract_y
_atom_site_fract_z
_atom_site_occupancy
Np1 0.0000 0.0000 0.0000 1
Tc1 0.6667 0.3333 0.3864 1
N1 0.3333 0.6667 0.7611 1
```

## Properties
The magnetization comes out at 0.64 μB/cell. The total energy is -31.61 eV/cell. The value obtained for the uncorrected formation energy is 0.007 eV per atom. The polymorph energy (0 for the lowest one) is 323 meV per atom.

First-principles (PBE) data for TbIF2 after structural relaxation, as listed in Alexandria via LeMat-Bulk.

The structure in CIF format:
```
data_TbIF2
_chemical_formula_sum 'Tb3 I3 F6'
_cell_length_a 3.9926
_cell_length_b 3.9926
_cell_length_c 16.9681
_cell_angle_alpha 90.00
_cell_angle_beta 90.00
_cell_angle_gamma 120.00
_space_group_name_H-M_alt 'R -3 m'
_space_group_IT_number 166
_space_group_name_Hall '-R 3 2"'
loop_
_atom_site_label
_atom_site_fract_x
_atom_site_fract_y
_atom_site_fract_z
_atom_site_occupancy
Tb1 0.0000 0.0000 0.0000 1
I1 0.0000 0.0000 0.5000 1
F1 0.0000 0.0000 0.3069 1
```

## Properties
The magnetization comes out at 0.00 μB/cell. The total energy is -66.08 eV/cell. The value obtained for the uncorrected formation energy is -3.026 eV per atom. The polymorph energy (0 for the lowest one) is 96 meV per atom.

First-principles (PBE) data for Tb4Ni2Sn after structural relaxation, as listed in Alexandria via LeMat-Bulk.

The structure in CIF format:
```
data_Tb4Ni2Sn
_chemical_formula_sum 'Tb12 Ni6 Sn3'
_cell_length_a 4.7273
_cell_length_b 4.7273
_cell_length_c 27.5858
_cell_angle_alpha 90.00
_cell_angle_beta 90.00
_cell_angle_gamma 120.00
_space_group_name_H-M_alt 'R -3 m'
_space_group_IT_number 166
_space_group_name_Hall '-R 3 2"'
loop_
_atom_site_label
_atom_site_fract_x
_atom_site_fract_y
_atom_site_fract_z
_atom_site_occupancy
Tb1 0.0000 0.0000 0.1126 1
Tb2 0.0000 0.0000 0.2981 1
Ni1 0.0000 0.0000 0.4011 1
Sn1 0.0000 0.0000 0.5000 1
```

## Properties
The magnetization comes out at 0.00 μB/cell. The total energy is -108.89 eV/cell. For the formation energy, the calculation gives -0.32 eV per atom.

First-principles (PBE) data for Ti6GaIr after structural relaxation, as listed in Alexandria via LeMat-Bulk.

The structure in CIF format:
```
data_Ti6GaIr
_chemical_formula_sum 'Ti12 Ga2 Ir2'
_cell_length_a 4.3698
_cell_length_b 4.3698
_cell_length_c 13.6171
_cell_angle_alpha 90.00
_cell_angle_beta 90.00
_cell_angle_gamma 90.00
_space_group_name_H-M_alt 'I 4/m m m'
_space_group_IT_number 139
_space_group_name_Hall '-I 4 2'
loop_
_atom_site_label
_atom_site_fract_x
_atom_site_fract_y
_atom_site_fract_z
_atom_site_occupancy
Ti1 0.0000 0.0000 0.2487 1
Ti2 0.0000 0.5000 0.1196 1
Ga1 0.0000 0.0000 0.5000 1
Ir1 0.0000 0.0000 0.0000 1
```

## Properties
The magnetization comes out at 0.00 μB/cell. The total energy is -123.81 eV/cell. The polymorph energy (0 for the lowest one) is 40 meV per atom. For the formation energy, the calculation gives -0.33 eV per atom.

First-principles (PBE) data for LaSm2Sb after structural relaxation, as listed in Alexandria via LeMat-Bulk.

The structure in CIF format:
```
data_LaSm2Sb
_chemical_formula_sum 'La1 Sm2 Sb1'
_cell_length_a 4.0773
_cell_length_b 4.0773
_cell_length_c 7.4488
_cell_angle_alpha 90.00
_cell_angle_beta 90.00
_cell_angle_gamma 90.00
_space_group_name_H-M_alt 'P 4/m m m'
_space_group_IT_number 123
_space_group_name_Hall '-P 4 2'
loop_
_atom_site_label
_atom_site_fract_x
_atom_site_fract_y
_atom_site_fract_z
_atom_site_occupancy
La1 0.0000 0.0000 0.0000 1
Sm1 0.5000 0.5000 0.2871 1
Sb1 0.0000 0.0000 0.5000 1
```

## Properties
The magnetization comes out at 0.00 μB/cell. The total energy is -20.53 eV/cell. The value obtained for the uncorrected formation energy is -0.511 eV per atom. The polymorph energy (0 for the lowest one) is 73 meV per atom.

First-principles (PBE) data for Pm2Er7Sc after structural relaxation, as listed in Alexandria via LeMat-Bulk.

The structure in CIF format:
```
data_Pm2Er7Sc
_chemical_formula_sum 'Pm4 Er14 Sc2'
_cell_length_a 6.4244
_cell_length_b 28.4279
_cell_length_c 3.4427
_cell_angle_alpha 90.00
_cell_angle_beta 90.00
_cell_angle_gamma 90.00
_space_group_name_H-M_alt 'C m m m'
_space_group_IT_number 65
_space_group_name_Hall '-C 2 2'
loop_
_atom_site_label
_atom_site_fract_x
_atom_site_fract_y
_atom_site_fract_z
_atom_site_occupancy
Pm1 0.0000 0.2076 0.0000 1
Er1 0.0000 0.0000 0.0000 1
Er2 0.0000 0.3163 0.5000 1
Er3 0.2437 0.4043 0.0000 1
Sc1 0.0000 0.5000 0.5000 1
```

## Properties
The magnetization comes out at 0.00 μB/cell. The total energy is -92.09 eV/cell. For the formation energy, the calculation gives 0.17 eV per atom.

First-principles (PBE) data for ZnRuC3 after structural relaxation, as listed in Alexandria via LeMat-Bulk.

The structure in CIF format:
```
data_ZnRuC3
_chemical_formula_sum 'Zn1 Ru1 C3'
_cell_length_a 3.9997
_cell_length_b 3.9997
_cell_length_c 3.9997
_cell_angle_alpha 90.00
_cell_angle_beta 90.00
_cell_angle_gamma 90.00
_space_group_name_H-M_alt 'P m -3 m'
_space_group_IT_number 221
_space_group_name_Hall '-P 4 2 3'
loop_
_atom_site_label
_atom_site_fract_x
_atom_site_fract_y
_atom_site_fract_z
_atom_site_occupancy
Zn1 0.0000 0.0000 0.0000 1
Ru1 0.5000 0.5000 0.5000 1
C1 0.0000 0.5000 0.5000 1
```

## Properties
The magnetization comes out at 0.00 μB/cell. The total energy is -27.82 eV/cell. The polymorph energy (0 for the lowest one) is 0 meV per atom. For the formation energy, the calculation gives 2.08 eV per atom.

First-principles (PBE) data for AlTlTe2Cl after structural relaxation, as listed in Alexandria via LeMat-Bulk.

The structure in CIF format:
```
data_AlTlTe2Cl
_chemical_formula_sum 'Al1 Tl1 Te2 Cl1'
_cell_length_a 5.6943
_cell_length_b 5.6943
_cell_length_c 5.2371
_cell_angle_alpha 90.00
_cell_angle_beta 90.00
_cell_angle_gamma 90.00
_space_group_name_H-M_alt 'P 4/m m m'
_space_group_IT_number 123
_space_group_name_Hall '-P 4 2'
loop_
_atom_site_label
_atom_site_fract_x
_atom_site_fract_y
_atom_site_fract_z
_atom_site_occupancy
Al1 0.0000 0.0000 0.0000 1
Tl1 0.5000 0.5000 0.0000 1
Te1 0.0000 0.5000 0.5000 1
Cl1 0.0000 0.0000 0.5000 1
```

## Properties
The magnetization comes out at 0.00 μB/cell. The total energy is -12.69 eV/cell. The value obtained for the uncorrected formation energy is 0.310 eV per atom.

| no. | density of states at the Fermi level (states/eV/atom) |
| --- | --- |
| 1 | 1.021 |
| 2 | 0.000 |
| 3 | 0.724 |
| 4 | 1.260 |
| 5 | 1.660 |
| 6 | 1.463 |
| 7 | 0.759 |
| 8 | 0.764 |